DFT (GGA-PBE) results for a relaxed structure of Y3Cu.

The space group is P2/m (No. 10) and the conventional cell measures 3.7334, 4.7178 and 6.4084 Å, with angles of 90.00, 104.75 and 90.00 degrees. The distinct sites, in fractional coordinates, are Y at (0.0000, 0.0000, 0.0000), Y at (0.3797, 0.5000, 0.7228) and Cu at (0.0000, 0.0000, 0.5000).

Its formation energy is 68 meV/atom.

***

DFT (GGA-PBE) results for a relaxed structure of CrHg2Br.

The space group is Cmmm (No. 65) and the conventional cell measures 5.0675, 12.3863 and 3.7839 Å, with angles of 90.00, 90.00 and 90.00 degrees. The distinct sites, in fractional coordinates, are Cr at (0.0000, 0.0000, 0.0000), Hg at (0.0000, 0.1796, 0.5000) and Br at (0.0000, 0.5000, 0.0000).

Its offset from the most stable computed form is 0.119 eV/f.u. For the formation energy without anion corrections, the calculation gives 53 meV/atom.

***

The evaluated M_tot for the records listed, in turn: 0.00, 9.61 μB per cell.
The evaluated density of states at the Fermi level for the records listed, in turn: 4.93, 2.05 states/eV per cell.